# 1
Density functional theory data (PBE-GGA) for an optimized crystal structure of ReHg2Os2.

Properties
- Energy relative to the elements: 147.8 kJ/mol of atoms
- Energy above the most stable polymorph in this dataset: 0.574 eV per atom

abc: 8.4302 8.4302 8.4302
angles: 156.09 156.09 34.07
Closest atoms and distances in Å follow each position.
Sites, in units of the cell vectors:
Re 0.0000 0.0000 0.0000  8 Hg 2.96
Hg 0.3989 0.3989 0.0000  4 Re 2.96, 4 Os 2.97, 1 Hg 3.26
Hg 0.6011 0.6011 0.0000  4 Re 2.96, 4 Os 2.97, 1 Hg 3.26
Os 0.2500 0.7500 0.5000  4 Os 2.47
Os 0.7500 0.2500 0.5000  4 Os 2.47

=====

# 2
Density functional theory data (PBE-GGA) for an optimized crystal structure of Tl5As4.

Properties
- Energy relative to the elements: 2.9 kJ/mol of atoms
- Energy above the most stable polymorph in this dataset: 0.000 eV per atom

abc: 6.6448 6.6448 10.0505
angles: 109.64 109.64 39.74
Closest atoms and distances in Å follow each position.
Sites, in units of the cell vectors:
Tl 0.0000 0.0000 0.0000  4 As 3.29, 2 Tl 3.47
Tl 0.1143 0.1143 0.3691  5 As 3.15-3.41, 1 Tl 3.47
Tl 0.2522 0.2522 0.8402  3 As 3.08-3.36
Tl 0.7478 0.7478 0.1598  3 As 3.08-3.36
Tl 0.8857 0.8857 0.6309  5 As 3.15-3.41, 1 Tl 3.47
As 0.3987 0.3987 0.4193  2 As 2.47
As 0.4222 0.4222 0.1853  1 As 2.47
As 0.5778 0.5778 0.8147  1 As 2.47
As 0.6013 0.6013 0.5807  2 As 2.47

=====

Number 1: final energy -5.5702 eV/atom. Number 2: final energy -3.3514 eV/atom.